(1)
# PBE In5HgTe2, optimized geometry
# V	33.33	Å³ per atom
# calculated density	6.41	g cm⁻³
# total moment	0.00	Bohr magnetons per cell
# uncorrected energy	-2.614	eV/atom
# formation energy without anion corrections	-0.08	eV per atom
data_In5HgTe2
_chemical_formula_sum 'In10 Hg2 Te4'
_symmetry_space_group_name_H-M 'C 1 m 1'
_symmetry_Int_Tables_number 8
_symmetry_space_group_name_Hall 'C -2y'
_cell_length_a 9.784
_cell_length_b 9.148
_cell_length_c 7.668
_cell_angle_alpha 90.00
_cell_angle_beta 129.02
_cell_angle_gamma 90.00
loop_
_atom_site_label
_atom_site_type_symbol
_atom_site_fract_x
_atom_site_fract_y
_atom_site_fract_z
In1 In 0.000 0.000 0.000
In2 In 0.065 0.500 0.761
In3 In 0.179 0.177 0.469
In4 In 0.397 0.000 0.003
Hg1 Hg 0.217 0.500 0.495
Te1 Te 0.266 0.253 0.124

=====

(2)
# PBE In6Hg3Te2, optimized geometry
# V	31.24	Å³ per atom
# calculated density	7.47	g cm⁻³
# total moment	0.00	Bohr magnetons per cell
# uncorrected energy	-2.177	eV/atom
# formation energy without anion corrections	-0.03	eV per atom
data_In6Hg3Te2
_chemical_formula_sum 'In6 Hg3 Te2'
_symmetry_space_group_name_H-M 'P -6 2 m'
_symmetry_Int_Tables_number 189
_symmetry_space_group_name_Hall 'P -6 -2'
_cell_length_a 8.3359
_cell_length_b 8.3359
_cell_length_c 5.7109
_cell_angle_alpha 90.00
_cell_angle_beta 90.00
_cell_angle_gamma 120.00
loop_
_atom_site_label
_atom_site_type_symbol
_atom_site_fract_x
_atom_site_fract_y
_atom_site_fract_z
In1 In 0.0000 0.2609 0.0000
In2 In 0.0000 0.5664 0.5000
Hg1 Hg 0.0000 0.2109 0.5000
Te1 Te 0.3333 0.6667 0.0000

=====

(3)
# PBE InHg2Te, optimized geometry
# ΔE to the lowest computed polymorph	158.0	meV/atom
# V	27.89	Å³ per atom
# calculated density	9.58	g cm⁻³
# total moment	0.00	Bohr magnetons per cell
# uncorrected energy	-1.577	eV/atom
# formation energy without anion corrections	0.04	eV per atom
data_InHg2Te
_chemical_formula_sum 'In2 Hg4 Te2'
_symmetry_space_group_name_H-M 'C m m m'
_symmetry_Int_Tables_number 65
_symmetry_space_group_name_Hall '-C 2 2'
_cell_length_a 3.886
_cell_length_b 5.132
_cell_length_c 11.189
_cell_angle_alpha 90.00
_cell_angle_beta 90.00
_cell_angle_gamma 90.00
loop_
_atom_site_label
_atom_site_type_symbol
_atom_site_fract_x
_atom_site_fract_y
_atom_site_fract_z
In1 In 0.000 0.000 0.000
Hg1 Hg 0.000 0.500 0.243
Te1 Te 0.000 0.000 0.500

=====

(4)
# PBE In2Hg2Te, optimized geometry
# ΔE to the lowest computed polymorph	124.6	meV/atom
# V	29.21	Å³ per atom
# calculated density	8.62	g cm⁻³
# total moment	0.00	Bohr magnetons per cell
# uncorrected energy	-1.847	eV/atom
# formation energy without anion corrections	0.00	eV per atom
data_In2Hg2Te
_chemical_formula_sum 'In4 Hg4 Te2'
_symmetry_space_group_name_H-M 'P 4/m b m'
_symmetry_Int_Tables_number 127
_symmetry_space_group_name_Hall '-P 4 2ab'
_cell_length_a 8.084
_cell_length_b 8.084
_cell_length_c 4.470
_cell_angle_alpha 90.00
_cell_angle_beta 90.00
_cell_angle_gamma 90.00
loop_
_atom_site_label
_atom_site_type_symbol
_atom_site_fract_x
_atom_site_fract_y
_atom_site_fract_z
In1 In 0.177 0.323 0.000
Hg1 Hg 0.130 0.630 0.500
Te1 Te 0.000 0.000 0.500

=====

(5)
# PBE In4Hg2Te3, optimized geometry
# V	33.99	Å³ per atom
# calculated density	6.75	g cm⁻³
# total moment	0.00	Bohr magnetons per cell
# uncorrected energy	-2.510	eV/atom
# formation energy without anion corrections	-0.18	eV per atom
data_In4Hg2Te3
_chemical_formula_sum 'In4 Hg2 Te3'
_symmetry_space_group_name_H-M 'P -1'
_symmetry_Int_Tables_number 2
_symmetry_space_group_name_Hall '-P 1'
_cell_length_a 4.511
_cell_length_b 7.632
_cell_length_c 9.566
_cell_angle_alpha 86.69
_cell_angle_beta 76.43
_cell_angle_gamma 72.87
loop_
_atom_site_label
_atom_site_type_symbol
_atom_site_fract_x
_atom_site_fract_y
_atom_site_fract_z
In1 In 0.056 0.179 0.206
In2 In 0.316 0.285 0.586
Hg1 Hg 0.244 0.131 0.882
Te1 Te 0.000 0.000 0.500
Te2 Te 0.390 0.439 0.279

=====

(6)
# PBE In2HgTe2, optimized geometry
# ΔE to the lowest computed polymorph	76.5	meV/atom
# V	37.97	Å³ per atom
# calculated density	6.00	g cm⁻³
# total moment	0.00	Bohr magnetons per cell
# uncorrected energy	-2.532	eV/atom
# formation energy without anion corrections	-0.12	eV per atom
data_In2HgTe2
_chemical_formula_sum 'In4 Hg2 Te4'
_symmetry_space_group_name_H-M 'I 4/m m m'
_symmetry_Int_Tables_number 139
_symmetry_space_group_name_Hall '-I 4 2'
_cell_length_a 5.394
_cell_length_b 5.394
_cell_length_c 13.050
_cell_angle_alpha 90.00
_cell_angle_beta 90.00
_cell_angle_gamma 90.00
loop_
_atom_site_label
_atom_site_type_symbol
_atom_site_fract_x
_atom_site_fract_y
_atom_site_fract_z
In1 In 0.000 0.500 0.250
Hg1 Hg 0.000 0.000 0.000
Te1 Te 0.000 0.000 0.355